[1]
Computed, not measured: a geometry-optimized Tb5Sm2Ho4 structure at the PBE level of DFT.

Cell: 12.581 12.581 12.581 Å, 164.04 137.95 45.25°
Sites, in units of the cell vectors:
Tb 0.000 0.000 0.000
Tb 0.054 0.357 0.697
Tb 0.340 0.643 0.697
Tb 0.660 0.357 0.303
Tb 0.946 0.643 0.303
Sm 0.268 0.768 0.500
Sm 0.732 0.232 0.500
Ho 0.310 0.500 0.810
Ho 0.403 0.903 0.500
Ho 0.597 0.097 0.500
Ho 0.690 0.500 0.190

Summary:
- D(E_F) (states/eV per atom) = 1.453
- space-group type = Immm (71)
- calculated formation energy (eV per atom) = 0.208
- excess energy over the best structure of this formula in the dataset (meV per atom) = 161.4
- total magnetization (Bohr magnetons per cell) = 0.0



[2]
Computed, not measured: a geometry-optimized BeAl2Cu structure at the PBE level of DFT.

Cell: 4.185 4.185 2.973 Å, 90.00 90.00 90.00°
Sites, in units of the cell vectors:
Be 0.000 0.000 0.000
Al 0.000 0.500 0.500
Al 0.500 0.000 0.500
Cu 0.500 0.500 0.000

Summary:
- D(E_F) (states/eV per atom) = 0.338
- space-group type = P4/mmm (123)
- calculated formation energy (eV per atom) = 0.101
- total magnetization (Bohr magnetons per cell) = 0.0